No. 1
A plane-wave DFT calculation with meta-GGA SCAN was carried out for ScNbSb2I at its PBEsol-relaxed geometry.

Properties
For the raw total energy, the calculation gives -31.33 eV/atom. The calculation puts the total magnetization at 1.8 μB/f.u. Its raw formation energy is 0.398 eV/atom.

Cell lengths 5.289, 5.289, 5.490 Å; angles 90.00, 90.00, 90.00 degrees
Each line ends with the local moment (μB).
Sites, in units of the cell vectors:
1 I 0.000 0.000 0.500  -0.01
2 Sb 0.000 0.500 0.000  -0.06
3 Sb 0.500 0.000 0.000  -0.06
4 Nb 0.000 0.000 0.000  0.71
5 Sc 0.500 0.500 0.500  0.79

***

No. 2
A plane-wave DFT calculation with meta-GGA SCAN was carried out for FePdF2 at its PBEsol-relaxed geometry.

Properties
For the raw total energy, the calculation gives -15.69 eV/atom. The calculation puts the total magnetization at 2.9 μB/f.u. Its raw formation energy is -1.196 eV/atom.

Cell lengths 2.731, 2.731, 7.433 Å; angles 79.41, 79.41, 60.00 degrees
Each line ends with the local moment (μB).
Sites, in units of the cell vectors:
1 Fe 0.500 0.500 0.500  3.37
2 Pd 0.000 0.000 0.000  -0.55
3 F 0.899 0.899 0.304  0.06
4 F 0.101 0.101 0.696  0.06

***

No. 3
A plane-wave DFT calculation with meta-GGA SCAN was carried out for LuZnSn at its PBEsol-relaxed geometry.

Properties
For the raw total energy, the calculation gives -35.46 eV/atom. The formation energy is -537.9 meV/atom. The calculation puts the total magnetization at 0.0 μB/f.u.

Cell lengths 4.584, 4.584, 6.782 Å; angles 90.00, 90.00, 120.00 degrees
Sites, in units of the cell vectors:
1 Zn 0.333 0.667 0.750
2 Zn 0.667 0.333 0.250
3 Lu 0.000 0.000 0.500
4 Lu 0.000 0.000 0.000
5 Sn 0.333 0.667 0.250
6 Sn 0.667 0.333 0.750

***

No. 4
A plane-wave DFT calculation with meta-GGA SCAN was carried out for RbAlIr2 at its PBEsol-relaxed geometry.

Properties
For the raw total energy, the calculation gives -42.32 eV/atom. The formation energy is 352.0 meV/atom. The calculation puts the total magnetization at 0.0 μB/f.u.

Cell lengths 4.897, 4.897, 9.224 Å; angles 105.39, 105.39, 90.00 degrees
Sites, in units of the cell vectors:
1 Ir 0.625 0.375 0.750
2 Ir 0.125 0.375 0.750
3 Ir 0.625 0.875 0.250
4 Ir 0.625 0.375 0.250
5 Al 0.500 0.500 0.000
6 Al 0.750 0.250 0.500
7 Rb 0.000 0.000 0.000
8 Rb 0.250 0.750 0.500

***

No. 5
A plane-wave DFT calculation with meta-GGA SCAN was carried out for Zr2SiHg at its PBEsol-relaxed geometry.

Properties
For the raw total energy, the calculation gives -35.32 eV/atom. The calculation puts the total magnetization at 0.0 μB/f.u. Its raw formation energy is -0.425 eV/atom.

Cell lengths 3.046, 3.958, 6.269 Å; angles 90.00, 90.00, 90.00 degrees
Sites, in units of the cell vectors:
1 Hg 0.500 0.500 0.000
2 Si 0.500 0.500 0.500
3 Zr 0.000 0.000 0.736
4 Zr 0.000 0.000 0.264

***

No. 6
A plane-wave DFT calculation with meta-GGA SCAN was carried out for CdCoRh2 at its PBEsol-relaxed geometry.

Properties
For the raw total energy, the calculation gives -28.70 eV/atom. The formation energy is 110.7 meV/atom. The calculation puts the total magnetization at 3.6 μB/f.u. Its energy above the most stable polymorph in this dataset is 0.0000 eV/atom.

Cell lengths 2.839, 4.472, 5.198 Å; angles 115.48, 105.85, 90.00 degrees
Each line ends with the local moment (μB).
Sites, in units of the cell vectors:
1 Cd 0.510 0.510 0.020  -0.03
2 Co 0.263 0.763 0.526  2.13
3 Rh 0.987 0.987 0.974  0.72
4 Rh 0.740 0.240 0.480  0.88

***

No. 7
A plane-wave DFT calculation with meta-GGA SCAN was carried out for TlAg2PdN at its PBEsol-relaxed geometry.

Properties
For the raw total energy, the calculation gives -34.86 eV/atom. The calculation puts the total magnetization at 0.0 μB/f.u. Its raw formation energy is 0.568 eV/atom.

Cell lengths 4.111, 4.111, 5.018 Å; angles 90.00, 90.00, 90.00 degrees
Sites, in units of the cell vectors:
1 Tl 0.000 0.000 0.500
2 Pd 0.500 0.500 0.500
3 Ag 0.000 0.500 0.000
4 Ag 0.500 0.000 0.000
5 N 0.000 0.000 0.000

***

No. 8
A plane-wave DFT calculation with meta-GGA SCAN was carried out for CuRe2Au at its PBEsol-relaxed geometry.

Properties
For the raw total energy, the calculation gives -56.39 eV/atom. The formation energy is 248.7 meV/atom. The calculation puts the total magnetization at 0.0 μB/f.u. Its energy above the most stable polymorph in this dataset is 0.0000 eV/atom.

Cell lengths 2.798, 2.798, 7.397 Å; angles 90.00, 90.00, 90.00 degrees
Sites, in units of the cell vectors:
1 Au 0.000 0.000 0.513
2 Cu 0.500 0.500 0.756
3 Re 0.000 0.000 0.999
4 Re 0.500 0.500 0.232

***

No. 9
A plane-wave DFT calculation with meta-GGA SCAN was carried out for Al2CrTePd at its PBEsol-relaxed geometry.

Properties
For the raw total energy, the calculation gives -19.65 eV/atom. The calculation puts the total magnetization at 4.2 μB/f.u. Its raw formation energy is 1.130 eV/atom.

Cell lengths 4.859, 5.160, 5.160 Å; angles 90.00, 90.00, 90.00 degrees
Each line ends with the local moment (μB).
Sites, in units of the cell vectors:
1 Cr 0.500 0.000 0.000  3.96
2 Te 0.000 0.000 0.000  -0.07
3 Al 0.000 0.000 0.500  0.00
4 Al 0.000 0.500 0.000  0.00
5 Pd 0.500 0.500 0.500  0.05

***

No. 10
A plane-wave DFT calculation with meta-GGA SCAN was carried out for KNbCrRh2 at its PBEsol-relaxed geometry.

Properties
For the raw total energy, the calculation gives -24.59 eV/atom. The formation energy is 891.9 meV/atom. The calculation puts the total magnetization at 0.0 μB/f.u.

Cell lengths 4.532, 4.600, 4.600 Å; angles 90.00, 90.00, 90.00 degrees
Sites, in units of the cell vectors:
1 Cr 0.000 0.000 0.000
2 Nb 0.500 0.000 0.000
3 Rh 0.000 0.000 0.500
4 Rh 0.000 0.500 0.000
5 K 0.500 0.500 0.500

***

No. 11
A plane-wave DFT calculation with meta-GGA SCAN was carried out for MgBrN2 at its PBEsol-relaxed geometry.

Properties
For the raw total energy, the calculation gives -9.13 eV/atom. The calculation puts the total magnetization at 0.0 μB/f.u. Its raw formation energy is 1.623 eV/atom.

Cell lengths 3.357, 3.357, 6.387 Å; angles 74.76, 74.76, 60.00 degrees
Sites, in units of the cell vectors:
1 Mg 0.000 0.000 0.000
2 Br 0.500 0.500 0.500
3 N 0.891 0.891 0.328
4 N 0.109 0.109 0.672

***

No. 12
A plane-wave DFT calculation with meta-GGA SCAN was carried out for MgTl at its PBEsol-relaxed geometry.

Properties
For the raw total energy, the calculation gives -38.61 eV/atom. The formation energy is 58.5 meV/atom. The calculation puts the total magnetization at 0.0 μB/f.u.

Cell lengths 5.232, 5.232, 5.219 Å; angles 59.92, 59.92, 60.00 degrees
Sites, in units of the cell vectors:
1 Mg 0.125 0.125 0.625
2 Mg 0.875 0.875 0.375
3 Tl 0.375 0.375 0.876
4 Tl 0.625 0.625 0.124